# Ta2ReAu | the Alexandria database | PBE | relaxed
data_Ta2ReAu
_cell_length_a 3.299
_cell_length_b 4.585
_cell_length_c 9.064
_cell_angle_alpha 90.00
_cell_angle_beta 90.00
_cell_angle_gamma 90.00
_symmetry_space_group_name_H-M 'C m m m'
_symmetry_Int_Tables_number 65
_symmetry_space_group_name_Hall '-C 2 2'
loop_
_atom_site_label
_atom_site_fract_x
_atom_site_fract_y
_atom_site_fract_z
Ta1 0.000 0.000 0.240
Re1 0.000 0.500 0.000
Au1 0.000 0.500 0.500
# - energy above the lowest structure with this stoichiometry (eV per atom) = 0.039
# - E_form (eV per atom) = -0.068
# - total DFT energy (no corrections) (eV per atom) = -9.93